The following is a DFT calculation (PBE-GGA) of a geometry-optimized Rb2Cu3F8 structure.

Lattice parameters (Å, degrees): 3.9483 3.9483 12.1873 90.00 90.00 90.00
Closest atoms and distances in Å follow each position.
Element x y z (fractional)
1 Rb 0.0000 0.0000 0.1860  12 F 2.81-3.01
2 Rb 0.0000 0.0000 0.8140  12 F 2.81-3.01
3 Cu 0.5000 0.5000 0.0000  6 F 1.97-2.00
4 Cu 0.5000 0.5000 0.3684  4 F 1.97
5 Cu 0.5000 0.5000 0.6316  4 F 1.97
6 F 0.0000 0.5000 0.0000  2 Cu 1.97
7 F 0.0000 0.5000 0.3654  2 Cu 1.97
8 F 0.0000 0.5000 0.6346  2 Cu 1.97
9 F 0.5000 0.0000 0.0000  2 Cu 1.97
10 F 0.5000 0.0000 0.3654  2 Cu 1.97
11 F 0.5000 0.0000 0.6346  2 Cu 1.97
12 F 0.5000 0.5000 0.1637  1 Cu 2.00
13 F 0.5000 0.5000 0.8363  1 Cu 2.00

Computed properties:
* density: 4.49 Mg/m³
* relative energy among the computed polymorphs: 11.8 meV per atom
* uncorrected formation energy: -1.899 eV/atom
* electronic total energy: -4.145 eV/atom



The following is a DFT calculation (PBE-GGA) of a geometry-optimized RbCu3F6 structure.

Lattice parameters (Å, degrees): 5.6454 5.6615 5.7984 61.70 67.89 63.75
Closest atoms and distances in Å follow each position.
Element x y z (fractional)
1 Rb 0.0000 0.0000 0.0000  8 F 2.70-3.00
2 Cu 0.2376 0.2212 0.2894  3 F 1.92-2.10
3 Cu 0.5657 0.5045 0.3758  4 F 1.94-2.06
4 Cu 0.7277 0.7689 0.7720  5 F 1.99-2.19
5 F 0.0438 0.9560 0.5105  1 Cu 1.92
6 F 0.4277 0.4941 0.1118  2 Cu 1.93-2.00
7 F 0.4738 0.1330 0.5768  2 Cu 2.00-2.06
8 F 0.5242 0.9099 0.1116  3 Cu 2.03-2.19
9 F 0.7571 0.5354 0.5718  2 Cu 1.94-2.06
10 F 0.9742 0.4768 0.0214  2 Cu 1.99-2.10

Computed properties:
* density: 4.53 Mg/m³
* uncorrected formation energy: -1.678 eV/atom
* electronic total energy: -4.127 eV/atom



The following is a DFT calculation (PBE-GGA) of a geometry-optimized RbCu5F11 structure.

Lattice parameters (Å, degrees): 6.5536 6.5536 6.9748 102.61 102.61 111.10
Closest atoms and distances in Å follow each position.
Element x y z (fractional)
1 Rb 0.0000 0.0000 0.0000  4 F 2.81
2 Cu 0.0609 0.3617 0.6343  4 F 1.90-2.10
3 Cu 0.3617 0.0609 0.6343  4 F 1.90-2.10
4 Cu 0.5000 0.5000 0.0000  4 F 1.94
5 Cu 0.6383 0.9391 0.3657  4 F 1.90-2.10
6 Cu 0.9391 0.6383 0.3657  4 F 1.90-2.10
7 F 0.0000 0.0000 0.5000  4 Cu 2.20
8 F 0.1177 0.7018 0.6481  2 Cu 1.93-2.10
9 F 0.1727 0.4249 0.9264  2 Cu 1.90-1.94
10 F 0.2982 0.8823 0.3519  2 Cu 1.93-2.10
11 F 0.3860 0.3860 0.6434  3 Cu 2.06-2.30
12 F 0.4249 0.1727 0.9264  2 Cu 1.90-1.94
13 F 0.5751 0.8273 0.0736  2 Cu 1.90-1.94
14 F 0.6140 0.6140 0.3566  3 Cu 2.06-2.30
15 F 0.7018 0.1177 0.6481  2 Cu 1.93-2.10
16 F 0.8273 0.5751 0.0736  2 Cu 1.90-1.94
17 F 0.8823 0.2982 0.3519  2 Cu 1.93-2.10

Computed properties:
* density: 3.94 Mg/m³
* uncorrected formation energy: -1.596 eV/atom
* electronic total energy: -4.068 eV/atom



The following is a DFT calculation (PBE-GGA) of a geometry-optimized RbCu4F7 structure.

Lattice parameters (Å, degrees): 8.6595 8.6595 8.6595 151.89 44.89 145.73
Closest atoms and distances in Å follow each position.
Element x y z (fractional)
1 Rb 0.0000 0.0000 0.0000  6 F 2.87-3.12
2 Cu 0.2668 0.5271 0.7396  4 F 1.91-2.12
3 Cu 0.3902 0.0099 0.3804  4 F 1.92-2.12
4 Cu 0.6295 0.0099 0.6196  4 F 1.92-2.12
5 Cu 0.7875 0.5271 0.2604  4 F 1.91-2.12
6 F 0.1738 0.5531 0.6207  1 Cu 1.91
7 F 0.2812 0.0274 0.2538  3 Cu 2.03-2.12
8 F 0.3903 0.5264 0.8639  3 Cu 1.99-2.12
9 F 0.5479 0.0479 0.5000  2 Cu 1.92
10 F 0.6625 0.5264 0.1361  3 Cu 1.99-2.12
11 F 0.7735 0.0274 0.7462  3 Cu 2.03-2.12
12 F 0.9324 0.5531 0.3793  1 Cu 1.91

Computed properties:
* density: 4.57 Mg/m³
* uncorrected formation energy: -1.590 eV/atom
* electronic total energy: -4.128 eV/atom



The following is a DFT calculation (PBE-GGA) of a geometry-optimized Rb4Cu3F10 structure.

Lattice parameters (Å, degrees): 15.2898 15.2898 15.2898 164.29 164.29 22.29
Closest atoms and distances in Å follow each position.
Element x y z (fractional)
1 Rb 0.0675 0.0675 0.0000  12 F 2.91-2.96
2 Rb 0.2018 0.2018 0.0000  9 F 2.87-2.96
3 Rb 0.7982 0.7982 0.0000  9 F 2.87-2.96
4 Rb 0.9325 0.9325 0.0000  12 F 2.91-2.96
5 Cu 0.3641 0.3641 0.0000  6 F 2.00-2.09
6 Cu 0.5000 0.5000 0.0000  6 F 2.06-2.09
7 Cu 0.6359 0.6359 0.0000  6 F 2.00-2.09
8 F 0.0000 0.5000 0.5000  2 Cu 2.09
9 F 0.1360 0.6360 0.5000  2 Cu 2.09
10 F 0.2974 0.2974 0.0000  1 Cu 2.00
11 F 0.3640 0.8640 0.5000  2 Cu 2.09
12 F 0.4314 0.4314 0.0000  2 Cu 2.02-2.06
13 F 0.5000 0.0000 0.5000  2 Cu 2.09
14 F 0.5686 0.5686 0.0000  2 Cu 2.02-2.06
15 F 0.6360 0.1360 0.5000  2 Cu 2.09
16 F 0.7026 0.7026 0.0000  1 Cu 2.00
17 F 0.8640 0.3640 0.5000  2 Cu 2.09

Computed properties:
* density: 4.58 Mg/m³
* uncorrected formation energy: -2.157 eV/atom
* electronic total energy: -4.209 eV/atom



The following is a DFT calculation (PBE-GGA) of a geometry-optimized Rb2CuF4 structure.

Lattice parameters (Å, degrees): 7.4480 7.4480 7.4480 147.11 147.11 47.20
Closest atoms and distances in Å follow each position.
Element x y z (fractional)
1 Rb 0.1442 0.1442 0.0000  9 F 2.87-2.98
2 Rb 0.8558 0.8558 0.0000  9 F 2.87-2.98
3 Cu 0.5000 0.5000 0.0000  6 F 1.99-2.11
4 F 0.0000 0.5000 0.5000  2 Cu 2.11
5 F 0.3543 0.3543 0.0000  1 Cu 1.99
6 F 0.5000 0.0000 0.5000  2 Cu 2.11
7 F 0.6457 0.6457 0.0000  1 Cu 1.99

Computed properties:
* density: 4.25 Mg/m³
* relative energy among the computed polymorphs: 0.0 meV per atom
* uncorrected formation energy: -2.271 eV/atom
* electronic total energy: -4.201 eV/atom